# NaYZr

NaYZr after structural relaxation (GGA-PBE, Alexandria).

Calculated values
Space group ... P1 (1)
Magnetization ... 0.00 μB per atom
E above lowest polymorph ... 173.7 meV per atom

a b c (Å): 3.305 5.403 9.878
angles (deg): 89.43 89.30 89.79
Fractional positions:
1 Na 0.000 0.000 0.000
2 Na 0.458 0.503 0.846
3 Y 0.404 0.510 0.483
4 Y 0.906 0.009 0.619
5 Zr 0.420 0.012 0.315
6 Zr 0.913 0.492 0.209

# LiDy5Cu4

LiDy5Cu4 after structural relaxation (GGA-PBE, Alexandria).

Calculated values
Space group ... P4/mmm (123)
Magnetization ... 0.00 μB per atom

a b c (Å): 3.487 3.487 17.769
angles (deg): 90.00 90.00 90.00
Fractional positions:
1 Li 0.000 0.000 0.000
2 Dy 0.500 0.500 0.112
3 Dy 0.500 0.500 0.305
4 Dy 0.500 0.500 0.500
5 Dy 0.500 0.500 0.695
6 Dy 0.500 0.500 0.888
7 Cu 0.000 0.000 0.204
8 Cu 0.000 0.000 0.403
9 Cu 0.000 0.000 0.597
10 Cu 0.000 0.000 0.796

Formation energy for every record listed, in sequence, given in eV/f.u.: 0.80, -1.80.